Entry 1:
# DyPaNO

An optimized crystal structure of DyPaNO (PBE-GGA, OQMD via LeMat-Bulk).

energy above the most stable polymorph in this dataset: 0 meV per atom
E: -0.3080 Ha/atom

abc: 3.9282 5.1195 7.0279
angles: 90.00 90.00 90.00
Fractional coordinates of all 8 atoms:
Dy 0.0000 0.4385 0.3356
Dy 0.0000 0.9385 0.6644
N 0.0000 0.9380 0.3401
N 0.0000 0.4380 0.6599
O 0.5000 0.4390 0.1871
O 0.5000 0.9390 0.8129
Pa 0.5000 0.9384 0.1551
Pa 0.5000 0.4384 0.8449

---

Entry 2:
# DyPaNO

An optimized crystal structure of DyPaNO (PBE-GGA, OQMD via LeMat-Bulk).

energy above the most stable polymorph in this dataset: 25 meV per atom
E: -0.3070 Ha/atom

abc: 6.7511 8.2609 5.0728
angles: 90.00 90.00 90.00
Fractional coordinates of all 16 atoms:
Dy 0.0876 0.1238 0.0505
Dy 0.5876 0.8762 0.0505
Dy 0.4124 0.1238 0.5505
Dy 0.9124 0.8762 0.5505
N 0.4294 0.1204 0.0507
N 0.9294 0.8796 0.0507
N 0.0706 0.1204 0.5507
N 0.5706 0.8796 0.5507
O 0.9011 0.3507 0.0505
O 0.4011 0.6493 0.0505
O 0.5989 0.3507 0.5505
O 0.0989 0.6493 0.5505
Pa 0.5501 0.3797 0.0507
Pa 0.0501 0.6203 0.0507
Pa 0.9499 0.3797 0.5507
Pa 0.4499 0.6203 0.5507

---

Entry 3:
# DyPaNO

An optimized crystal structure of DyPaNO (PBE-GGA, OQMD via LeMat-Bulk).

energy above the most stable polymorph in this dataset: 35 meV per atom
E: -0.3067 Ha/atom

abc: 4.0756 4.9900 6.9023
angles: 90.00 90.00 90.00
Fractional coordinates of all 8 atoms:
Dy 0.5000 0.9386 0.1693
Dy 0.5000 0.4386 0.8307
N 0.0000 0.9386 0.3384
N 0.0000 0.4386 0.6616
O 0.5000 0.4387 0.1616
O 0.5000 0.9387 0.8384
Pa 0.0000 0.4380 0.3303
Pa 0.0000 0.9380 0.6697

---

Entry 4:
# PmDyNO

An optimized crystal structure of PmDyNO (PBE-GGA, OQMD via LeMat-Bulk).

energy above the most stable polymorph in this dataset: 407 meV per atom
E: -0.2727 Ha/atom

abc: 4.4419 4.4419 8.2125
angles: 90.00 90.00 90.00
Fractional coordinates of all 8 atoms:
Dy 0.7500 0.2500 0.5000
Dy 0.2500 0.7500 0.5000
N 0.7500 0.7500 0.4277
N 0.2500 0.2500 0.5723
O 0.7500 0.2500 0.0000
O 0.2500 0.7500 0.0000
Pm 0.2500 0.2500 0.1021
Pm 0.7500 0.7500 0.8979